5
Lattice="3.366 0.000 0.000 0.000 3.366 0.000 0.000 0.000 3.654" Properties=species:S:1:pos:R:3 comment="GGA-PBEsol MgBeO2F, relaxed" vol_a3_per_cell=41.39 space_group=P4/mmm e_form_raw_ev_per_atom=-2.047 energy_ev_per_cell=-28.378 pbc="T T T"
Mg 0.000 0.000 0.000
Be 1.683 1.683 1.827
O 0.000 1.683 1.827
O 1.683 0.000 1.827
F 1.683 1.683 0.000



28
Lattice="8.348 0.000 0.000 0.000 6.193 0.000 0.000 0.000 11.047" Properties=species:S:1:pos:R:3 comment="GGA-PBEsol Cs2MnO4, relaxed" vol_a3_per_cell=571.13 space_group=Pnma e_form_raw_ev_per_atom=-1.718 energy_ev_per_cell=-178.686 de_polymorph_kj_per_mol_fu=0 pbc="T T T"
Cs 0.120 1.548 2.140
Cs 1.396 4.645 4.543
Cs 2.778 1.548 10.067
Cs 4.053 4.645 7.663
Cs 4.294 1.548 3.384
Cs 5.570 4.645 0.980
Cs 6.952 1.548 6.504
Cs 8.227 4.645 8.908
Mn 1.961 4.645 0.891
Mn 2.212 1.548 6.414
Mn 6.135 4.645 4.633
Mn 6.386 1.548 10.156
O 0.321 4.645 0.965
O 1.620 0.201 7.154
O 1.620 2.896 7.154
O 1.715 1.548 4.840
O 2.459 4.645 10.363
O 2.554 3.298 1.630
O 2.554 5.992 1.630
O 3.853 1.548 6.488
O 4.495 4.645 4.559
O 5.794 0.201 9.417
O 5.794 2.896 9.417
O 5.889 1.548 0.684
O 6.633 4.645 6.207
O 6.728 3.298 3.893
O 6.728 5.992 3.893
O 8.027 1.548 10.082



no.,density (Mg/m³)
1,3.4
2,4.5